MgMnSi2: optimized geometry, PBE.

POSCAR file:
```
MgMnSi2
1.0
-1.755 3.778 -0.460
-2.697 -0.877 3.085
3.070 4.584 6.834
Si Mn Mg
4 2 2
Cartesian
-0.842 3.775 1.760
-0.962 0.692 3.625
0.903 4.613 5.801
-1.863 5.888 7.731
0.000 0.000 0.000
-0.455 4.906 3.843
-2.226 1.450 1.312
-0.927 2.578 5.616
```

Space group: I-42d (122)
Final energy, eV per atom: -5.158
Magnetic moment, μB/f.u.: 2.952
Formation energy from raw total energies, meV/atom: 244